Computed, not measured: a crystal of MgSc2Te relaxed with PBEsol at the SCAN level of DFT.

Output
For the formation energy without anion corrections, the calculation gives -161.9 kJ/mol of formula units. The calculation puts the magnetization at 0.000 μB per atom. The total energy comes out at -18.094 eV per atom.

Cell: 3.822 4.796 4.796 Å, 90.00 90.00 90.00°
Sites, in units of the cell vectors:
Mg 0.500 0.000 0.000
Sc 0.000 0.000 0.500
Sc 0.000 0.500 0.000
Te 0.500 0.500 0.500